The following is a DFT calculation (PBE-GGA) of a geometry-optimized Ac2Cu3TcGe4 structure.

Properties
The total magnetization comes out at 0.0 Bohr magnetons per cell. Its formation energy from the elements is -0.4138 eV per atom.

```
data_Ac2Cu3TcGe4
_chemical_formula_sum 'Ac2 Cu3 Tc1 Ge4'
_space_group_name_H-M_alt 'P -4 m 2'
_space_group_IT_number 115
_cell_length_a 4.342
_cell_length_b 4.342
_cell_length_c 10.431
_cell_angle_alpha 90.00
_cell_angle_beta 90.00
_cell_angle_gamma 90.00
loop_
_space_group_symop_operation_xyz
'x,y,z'
'y,-x,-z'
'-x,-y,z'
'-y,x,-z'
'-x,y,z'
'-y,-x,-z'
'x,-y,z'
'y,x,-z'
loop_
_atom_site_label
_atom_site_fract_x
_atom_site_fract_y
_atom_site_fract_z
Ac1 0.000 0.500 0.246
Cu1 0.000 0.500 0.874
Cu2 0.500 0.500 0.500
Tc1 0.000 0.000 0.500
Ge1 0.000 0.000 0.000
Ge2 0.000 0.500 0.627
Ge3 0.500 0.500 0.000
```